CuSiP2: optimized geometry, PBE.

Lattice parameters (Å, degrees): 2.8461 2.8461 26.5216 90.00 90.00 120.00
Space group R3m (No. 160, hexagonal axes)
Symmetry-distinct sites (fractional):
Cu 0.0000 0.0000 0.0000
Si 0.0000 0.0000 0.2645
P 0.0000 0.0000 0.5283
P 0.0000 0.0000 0.7352



CuSiP2: optimized geometry, PBE.

Lattice parameters (Å, degrees): 6.499 3.174 6.424 90.00 113.56 90.00
Space group Cm (No. 8)
Symmetry-distinct sites (fractional):
Cu 0.000 0.000 0.000
Si 0.268 0.500 0.265
P 0.069 0.500 0.504
P 0.208 0.000 0.778



CuSi2P3: optimized geometry, PBE.

Lattice parameters (Å, degrees): 3.7452 3.7452 9.0741 90.00 90.00 120.00
Space group P3m1 (No. 156)
Symmetry-distinct sites (fractional):
Cu 0.0000 0.0000 0.0000
Si 0.3333 0.6667 0.3479
Si 0.6667 0.3333 0.6983
P 0.0000 0.0000 0.2559
P 0.3333 0.6667 0.6000
P 0.6667 0.3333 0.9372



Cu4SiP: optimized geometry, PBE.

Lattice parameters (Å, degrees): 6.831 6.831 6.831 90.00 90.00 90.00
Space group F-43m (No. 216)
Symmetry-distinct sites (fractional):
Cu 0.125 0.125 0.125
Si 0.000 0.000 0.500
P 0.250 0.250 0.750



Cu3SiP2: optimized geometry, PBE.

Lattice parameters (Å, degrees): 5.0528 5.0528 7.9323 90.00 90.00 120.00
Space group P6_3/mmc (No. 194)
Symmetry-distinct sites (fractional):
Cu 0.1666 0.3332 0.2500
Si 0.0000 0.0000 0.0000
P 0.3333 0.6667 0.0080



CuSiP: optimized geometry, PBE.

Lattice parameters (Å, degrees): 4.0083 4.0083 6.4711 90.00 90.00 120.00
Space group P6_3/mmc (No. 194)
Symmetry-distinct sites (fractional):
Cu 0.3333 0.6667 0.2500
Si 0.3333 0.6667 0.7500
P 0.0000 0.0000 0.0000



CuSiP: optimized geometry, PBE.

Lattice parameters (Å, degrees): 3.444 5.731 5.753 108.42 106.05 107.43
Space group P-1 (No. 2)
Symmetry-distinct sites (fractional):
Cu 0.187 0.334 0.027
Si 0.003 0.330 0.601
P 0.266 0.125 0.312



CuSiP: optimized geometry, PBE.

Lattice parameters (Å, degrees): 5.766 5.766 5.766 90.00 90.00 90.00
Space group F-43m (No. 216)
Symmetry-distinct sites (fractional):
Cu 0.000 0.000 0.000
Si 0.000 0.000 0.500
P 0.250 0.250 0.250



CuSiP: optimized geometry, PBE.

Lattice parameters (Å, degrees): 5.720 5.720 5.720 90.00 90.00 90.00
Space group F-43m (No. 216)
Symmetry-distinct sites (fractional):
Cu 0.000 0.000 0.000
Si 0.250 0.250 0.250
P 0.250 0.250 0.750



CuSiP: optimized geometry, PBE.

Lattice parameters (Å, degrees): 4.3493 4.3493 5.0383 90.00 90.00 120.00
Space group P6_3/mmc (No. 194)
Symmetry-distinct sites (fractional):
Cu 0.0000 0.0000 0.0000
Si 0.3333 0.6667 0.2500
P 0.3333 0.6667 0.7500



Respective raw formation energy values: 1.61 0.63 -0.17 1.76 1.79 1.62 0.20 1.09 0.78 1.03 eV/f.u..